VASP calculation (GGA-PBE) on a relaxed structure of NdZrGe2O8.

Cell lengths 5.947, 5.947, 5.947 Å; angles 107.21, 107.21, 114.09 degrees
Atoms (fractional coordinates):
Nd 0.000 0.000 0.000
Zr 0.250 0.750 0.500
Ge 0.500 0.500 0.000
Ge 0.750 0.250 0.500
O 0.324 0.130 0.806
O 0.324 0.518 0.194
O 0.381 0.054 0.326
O 0.482 0.676 0.806
O 0.728 0.054 0.674
O 0.870 0.676 0.194
O 0.946 0.272 0.326
O 0.946 0.619 0.674

Computed properties:
E_tot = -7.47 eV/atom

---

VASP calculation (GGA-PBE) on a relaxed structure of Nd3Ge13Os4.

Cell lengths 9.172, 9.172, 9.172 Å; angles 90.00, 90.00, 90.00 degrees
Atoms (fractional coordinates):
Nd 0.000 0.250 0.500
Nd 0.000 0.750 0.500
Nd 0.250 0.500 0.000
Nd 0.500 0.000 0.250
Nd 0.500 0.000 0.750
Nd 0.750 0.500 0.000
Ge 0.000 0.000 0.000
Ge 0.000 0.294 0.146
Ge 0.000 0.294 0.854
Ge 0.000 0.706 0.146
Ge 0.000 0.706 0.854
Ge 0.146 0.000 0.294
Ge 0.146 0.000 0.706
Ge 0.206 0.500 0.354
Ge 0.206 0.500 0.646
Ge 0.294 0.146 0.000
Ge 0.294 0.854 0.000
Ge 0.354 0.206 0.500
Ge 0.354 0.794 0.500
Ge 0.500 0.354 0.206
Ge 0.500 0.354 0.794
Ge 0.500 0.500 0.500
Ge 0.500 0.646 0.206
Ge 0.500 0.646 0.794
Ge 0.646 0.206 0.500
Ge 0.646 0.794 0.500
Ge 0.706 0.146 0.000
Ge 0.706 0.854 0.000
Ge 0.794 0.500 0.354
Ge 0.794 0.500 0.646
Ge 0.854 0.000 0.294
Ge 0.854 0.000 0.706
Os 0.250 0.250 0.250
Os 0.250 0.250 0.750
Os 0.250 0.750 0.250
Os 0.250 0.750 0.750
Os 0.750 0.250 0.250
Os 0.750 0.250 0.750
Os 0.750 0.750 0.250
Os 0.750 0.750 0.750

Computed properties:
E_tot = -6.30 eV/atom
Formation enthalpy at 0 K = -0.333 eV per atom

---

VASP calculation (GGA-PBE) on a relaxed structure of NdGeOs.

Cell lengths 4.270, 4.270, 4.159 Å; angles 90.00, 90.00, 120.00 degrees
Atoms (fractional coordinates):
Nd 0.000 0.000 0.000
Ge 0.333 0.667 0.500
Os 0.667 0.333 0.501

Computed properties:
E_tot = -7.17 eV/atom
Formation enthalpy at 0 K = -0.297 eV per atom

---

Copy entry 3 word for word.
VASP calculation (GGA-PBE) on a relaxed structure of NdGeOs.

Cell lengths 4.270, 4.270, 4.159 Å; angles 90.00, 90.00, 120.00 degrees
Atoms (fractional coordinates):
Nd 0.000 0.000 0.000
Ge 0.333 0.667 0.500
Os 0.667 0.333 0.501

Computed properties:
E_tot = -7.17 eV/atom
Formation enthalpy at 0 K = -0.297 eV per atom